## NpNiRuRh (PBE)

Data for an optimized crystal structure of NpNiRuRh.

Structure (POSCAR):
```
NpNiRuRh
1.0
0.000 3.161 3.161
3.161 0.000 3.161
3.161 3.161 0.000
Np Ni Ru Rh
1 1 1 1
Direct
0.000 0.000 0.000
0.500 0.500 0.500
0.750 0.750 0.750
0.250 0.250 0.250
```

Summary:
- E_tot: -35.66 eV per cell
- Total magnetization: 1.984 μB/f.u.
- Fermi-level density of states: 2.00 states/eV per atom
- Energy of formation from the pure elements: -78 meV per atom